A relaxed structure of Li2YTc, computed with PBE.

```
Li2YTc
1.0
2.785 -4.530 0.000
2.785 4.530 0.000
0.000 0.000 2.861
Li Y Tc
2 1 1
Direct
0.000 0.500 0.000 Li
0.500 0.000 0.000 Li
0.000 0.000 0.500 Y
0.500 0.500 0.500 Tc
```

Results
ΔH_f (0 K): 0.474 eV per atom
Polymorph energy (0 for the lowest one): 82.2 kJ/mol of formula units
Magnetic moment: 0.001 μB/atom
V: 72 Å³ per cell
Energy: -18.8 eV/cell